1.
Here is crystalline SmUMn at its relaxed geometry from Alexandria. Energies are from GGA-PBE.

a = 3.2707 Å, b = 3.2707 Å, c = 11.8763 Å
α = 90.24°, β = 90.24°, γ = 90.01°
Closest atoms and distances in Å follow each position.
Positions (direct):
Sm (0.2476, 0.2476, 0.3706)  4 Mn 3.20-3.23, 4 Sm 3.27, 1 U 3.38
Sm (0.7524, 0.7524, 0.6294)  4 Mn 3.20-3.23, 4 Sm 3.27, 1 U 3.38
U (0.2511, 0.2511, 0.0862)  4 Mn 2.57-2.59
U (0.7489, 0.7489, 0.9138)  4 Mn 2.57-2.59
Mn (0.2505, 0.2505, 0.8172)  4 U 2.57-2.59
Mn (0.7495, 0.7495, 0.1828)  4 U 2.57-2.59

Properties
The calculation puts the theoretical density at 11.59 g/cm³. The density of states at the Fermi level comes out at 1.563 states/eV per atom. The space-group type is C2/m (12). The value obtained for the energy of formation is 0.10 eV/atom.


2.
Here is crystalline SmU2Mn9 at its relaxed geometry from Alexandria. Energies are from GGA-PBE.

a = 8.1836 Å, b = 8.1836 Å, c = 5.2735 Å
α = 90.00°, β = 90.00°, γ = 90.00°
Closest atoms and distances in Å follow each position.
Positions (direct):
Sm (0.0000, 0.0000, 0.0000)  16 Mn 3.19-3.27, 4 U 3.30
Sm (0.5000, 0.5000, 0.0000)  16 Mn 3.19-3.27, 4 U 3.30
U (0.1128, 0.3872, 0.0000)  1 U 2.61, 6 Mn 2.70-2.83
U (0.3872, 0.8872, 0.0000)  1 U 2.61, 6 Mn 2.70-2.83
U (0.6128, 0.1128, 0.0000)  1 U 2.61, 6 Mn 2.70-2.83
U (0.8872, 0.6128, 0.0000)  1 U 2.61, 6 Mn 2.70-2.83
Mn (0.0000, 0.5000, 0.5000)  8 Mn 2.45-2.50
Mn (0.0684, 0.2086, 0.5000)  8 Mn 2.42-2.60
Mn (0.1844, 0.6844, 0.2516)  7 Mn 2.42-2.65, 1 U 2.70
Mn (0.1844, 0.6844, 0.7484)  7 Mn 2.42-2.65, 1 U 2.70
Mn (0.2086, 0.9316, 0.5000)  8 Mn 2.42-2.60
Mn (0.2914, 0.4316, 0.5000)  8 Mn 2.42-2.60
Mn (0.3156, 0.1844, 0.2516)  7 Mn 2.42-2.65, 1 U 2.70
Mn (0.3156, 0.1844, 0.7484)  7 Mn 2.42-2.65, 1 U 2.70
Mn (0.4316, 0.7086, 0.5000)  8 Mn 2.42-2.60
Mn (0.5000, 0.0000, 0.5000)  8 Mn 2.45-2.50
Mn (0.5684, 0.2914, 0.5000)  8 Mn 2.42-2.60
Mn (0.6844, 0.8156, 0.2516)  7 Mn 2.42-2.65, 1 U 2.70
Mn (0.6844, 0.8156, 0.7484)  7 Mn 2.42-2.65, 1 U 2.70
Mn (0.7086, 0.5684, 0.5000)  8 Mn 2.42-2.60
Mn (0.7914, 0.0684, 0.5000)  8 Mn 2.42-2.60
Mn (0.8156, 0.3156, 0.2516)  7 Mn 2.42-2.65, 1 U 2.70
Mn (0.8156, 0.3156, 0.7484)  7 Mn 2.42-2.65, 1 U 2.70
Mn (0.9316, 0.7914, 0.5000)  8 Mn 2.42-2.60

Properties
The calculation puts the theoretical density at 10.54 g/cm³. The density of states at the Fermi level comes out at 1.329 states/eV per atom. The space-group type is P4/mbm (127). The value obtained for the energy of formation is 0.07 eV/atom.


3.
Here is crystalline SmUMn2 at its relaxed geometry from Alexandria. Energies are from GGA-PBE.

a = 3.2842 Å, b = 3.2842 Å, c = 7.0739 Å
α = 90.00°, β = 90.00°, γ = 90.00°
Closest atoms and distances in Å follow each position.
Positions (direct):
Sm (0.0000, 0.0000, 0.0000)  8 Mn 3.21, 4 Sm 3.28, 2 U 3.54
U (0.0000, 0.0000, 0.5000)  8 Mn 2.67
Mn (0.5000, 0.5000, 0.3131)  1 Mn 2.64, 4 U 2.67
Mn (0.5000, 0.5000, 0.6869)  1 Mn 2.64, 4 U 2.67

Properties
The calculation puts the theoretical density at 10.84 g/cm³. The density of states at the Fermi level comes out at 1.506 states/eV per atom. The space-group type is P4/mmm (123). The value obtained for the energy of formation is 0.15 eV/atom.


4.
Here is crystalline SmYMn4 at its relaxed geometry from Alexandria. Energies are from GGA-PBE.

a = 5.1815 Å, b = 5.1815 Å, c = 5.1815 Å
α = 60.00°, β = 60.00°, γ = 60.00°
Closest atoms and distances in Å follow each position.
Positions (direct):
Sm (0.0000, 0.0000, 0.0000)  12 Mn 3.04, 4 Y 3.17
Y (0.7500, 0.7500, 0.7500)  12 Mn 3.04, 4 Sm 3.17
Mn (0.3752, 0.3752, 0.3752)  6 Mn 2.59
Mn (0.3752, 0.3752, 0.8745)  6 Mn 2.59
Mn (0.3752, 0.8745, 0.3752)  6 Mn 2.59
Mn (0.8745, 0.3752, 0.3752)  6 Mn 2.59

Properties
The calculation puts the theoretical density at 7.75 g/cm³. The density of states at the Fermi level comes out at 1.277 states/eV per atom. The space-group type is F-43m (216). The value obtained for the energy of formation is 0.22 eV/atom.


5.
Here is crystalline SmYMnZn at its relaxed geometry from Alexandria. Energies are from GGA-PBE.

a = 5.0823 Å, b = 5.0823 Å, c = 5.0823 Å
α = 60.00°, β = 60.00°, γ = 60.00°
Closest atoms and distances in Å follow each position.
Positions (direct):
Sm (0.0000, 0.0000, 0.0000)  4 Mn 3.11, 4 Zn 3.11
Y (0.5000, 0.5000, 0.5000)  4 Zn 3.11, 4 Mn 3.11
Mn (0.2500, 0.2500, 0.2500)  4 Sm 3.11, 4 Y 3.11
Zn (0.7500, 0.7500, 0.7500)  4 Y 3.11, 4 Sm 3.11

Properties
The calculation puts the theoretical density at 6.43 g/cm³. The density of states at the Fermi level comes out at 1.295 states/eV per atom. The space-group type is F-43m (216). The value obtained for the energy of formation is -0.03 eV/atom.


6.
Here is crystalline Sm2MnZn at its relaxed geometry from Alexandria. Energies are from GGA-PBE.

a = 3.6443 Å, b = 3.6443 Å, c = 7.2139 Å
α = 90.00°, β = 90.00°, γ = 90.00°
Closest atoms and distances in Å follow each position.
Positions (direct):
Sm (0.0000, 0.0000, 0.2479)  4 Mn 3.14, 4 Zn 3.15
Sm (0.0000, 0.0000, 0.7521)  4 Mn 3.14, 4 Zn 3.15
Mn (0.5000, 0.5000, 0.0000)  8 Sm 3.14
Zn (0.5000, 0.5000, 0.5000)  8 Sm 3.15

Properties
The calculation puts the theoretical density at 7.30 g/cm³. The energy above the most stable polymorph in this dataset is 0.0000 eV per atom. The density of states at the Fermi level comes out at 1.078 states/eV per atom. The space-group type is P4/mmm (123). The value obtained for the energy of formation is -0.03 eV/atom.


7.
Here is crystalline Sm2MnZn at its relaxed geometry from Alexandria. Energies are from GGA-PBE.

a = 10.9193 Å, b = 10.9193 Å, c = 10.9193 Å
α = 17.54°, β = 17.54°, γ = 17.54°
Closest atoms and distances in Å follow each position.
Positions (direct):
Sm (0.0913, 0.0913, 0.0913)  1 Mn 2.94, 3 Zn 3.10
Sm (0.9087, 0.9087, 0.9087)  1 Mn 2.94, 3 Zn 3.10
Mn (0.0000, 0.0000, 0.0000)  2 Sm 2.94
Zn (0.5000, 0.5000, 0.5000)  6 Sm 3.10, 6 Zn 3.33

Properties
The calculation puts the theoretical density at 6.78 g/cm³. The energy above the most stable polymorph in this dataset is 0.5184 eV per atom. The density of states at the Fermi level comes out at 1.138 states/eV per atom. The space-group type is R-3m (166). The value obtained for the energy of formation is 0.49 eV/atom.


8.
Here is crystalline SmMnZn11 at its relaxed geometry from Alexandria. Energies are from GGA-PBE.

a = 6.8006 Å, b = 6.8006 Å, c = 6.8340 Å
α = 98.51°, β = 98.51°, γ = 134.58°
Closest atoms and distances in Å follow each position.
Positions (direct):
Sm (0.0000, 0.0000, 0.0000)  18 Zn 3.14-3.42, 2 Mn 3.42
Mn (0.0000, 0.0000, 0.5000)  10 Zn 2.59-2.68
Zn (0.0000, 0.5000, 0.0000)  10 Zn 2.59-2.80
Zn (0.0117, 0.6623, 0.6451)  7 Zn 2.64-2.83, 1 Mn 2.68
Zn (0.2770, 0.4968, 0.7796)  1 Mn 2.59, 8 Zn 2.59-2.83
Zn (0.3377, 0.9883, 0.3549)  7 Zn 2.64-2.83, 1 Mn 2.68
Zn (0.4968, 0.2770, 0.7796)  1 Mn 2.59, 8 Zn 2.59-2.83
Zn (0.5000, 0.0000, 0.0000)  10 Zn 2.59-2.80
Zn (0.5000, 0.5000, 0.5000)  8 Zn 2.60-2.75, 2 Mn 2.63
Zn (0.5032, 0.7230, 0.2204)  1 Mn 2.59, 8 Zn 2.59-2.83
Zn (0.6623, 0.0117, 0.6451)  7 Zn 2.64-2.83, 1 Mn 2.68
Zn (0.7230, 0.5032, 0.2204)  1 Mn 2.59, 8 Zn 2.59-2.83
Zn (0.9883, 0.3377, 0.3549)  7 Zn 2.64-2.83, 1 Mn 2.68

Properties
The calculation puts the theoretical density at 7.38 g/cm³. The density of states at the Fermi level comes out at 0.421 states/eV per atom. The space-group type is C2/m (12). The value obtained for the energy of formation is -0.15 eV/atom.


9.
Here is crystalline Sm2MnZn at its relaxed geometry from Alexandria. Energies are from GGA-PBE.

a = 5.1287 Å, b = 5.1287 Å, c = 5.1287 Å
α = 60.00°, β = 60.00°, γ = 60.00°
Closest atoms and distances in Å follow each position.
Positions (direct):
Sm (0.2500, 0.2500, 0.2500)  4 Zn 3.14, 4 Mn 3.14
Sm (0.7500, 0.7500, 0.7500)  4 Mn 3.14, 4 Zn 3.14
Mn (0.0000, 0.0000, 0.0000)  8 Sm 3.14
Zn (0.5000, 0.5000, 0.5000)  8 Sm 3.14

Properties
The calculation puts the theoretical density at 7.33 g/cm³. The energy above the most stable polymorph in this dataset is 0.0213 eV per atom. The density of states at the Fermi level comes out at 1.238 states/eV per atom. The space-group type is Fm-3m (225). The value obtained for the energy of formation is -0.01 eV/atom.


10.
Here is crystalline SmZrMnZn at its relaxed geometry from Alexandria. Energies are from GGA-PBE.

a = 4.8853 Å, b = 4.8853 Å, c = 4.8853 Å
α = 60.00°, β = 60.00°, γ = 60.00°
Closest atoms and distances in Å follow each position.
Positions (direct):
Sm (0.0000, 0.0000, 0.0000)  4 Mn 2.99, 4 Zn 2.99
Zr (0.5000, 0.5000, 0.5000)  4 Mn 2.99, 4 Zn 2.99
Mn (0.7500, 0.7500, 0.7500)  4 Zr 2.99, 4 Sm 2.99
Zn (0.2500, 0.2500, 0.2500)  4 Zr 2.99, 4 Sm 2.99

Properties
The calculation puts the theoretical density at 7.29 g/cm³. The density of states at the Fermi level comes out at 0.878 states/eV per atom. The space-group type is F-43m (216). The value obtained for the energy of formation is 0.03 eV/atom.